[1]
Below is a relaxed structure of PmYAs2, with properties calculated at the PBE level.

Geometry as extended XYZ:
```
4
Lattice="0.000 3.623 3.623 3.623 0.000 3.623 3.623 3.623 0.000" Properties=species:S:1:pos:R:3 pbc="T T T"
Pm 0.000 0.000 0.000
Y 3.623 3.623 3.623
As 1.812 1.812 1.812
As 5.435 5.435 5.435
```

Summary:
- total DFT energy (no corrections) (eV per atom) = -6.19
- M_tot (μB per cell) = 0.00
- formation energy from the elements (kJ per mole of atoms) = -103
- energy relative to the lowest polymorph listed for this composition (kJ/mol of atoms) = 45.69



[2]
Below is a relaxed structure of PmY2As, with properties calculated at the PBE level.

Geometry as extended XYZ:
```
4
Lattice="1.936 1.118 9.490 -1.936 1.118 9.490 0.000 -2.236 9.490" Properties=species:S:1:pos:R:3 pbc="T T T"
Pm 0.000 0.000 0.000
Y 0.000 0.000 6.471
Y 0.000 0.000 21.998
As 0.000 0.000 14.234
```

Summary:
- total DFT energy (no corrections) (eV per atom) = -6.22
- M_tot (μB per cell) = 0.00
- formation energy from the elements (kJ per mole of atoms) = -61



[3]
Below is a relaxed structure of Pm5YAs6, with properties calculated at the PBE level.

Geometry as extended XYZ:
```
12
Lattice="3.656 -6.330 0.000 3.656 6.330 0.000 -2.439 0.000 6.891" Properties=species:S:1:pos:R:3 pbc="T T T"
Pm 0.000 0.000 0.000
Pm 2.437 4.223 3.446
Pm 3.656 2.120 0.000
Pm 3.656 -2.120 0.000
Pm 2.437 -4.223 3.446
Y 2.437 0.000 3.446
As 1.231 2.089 1.739
As 0.024 0.000 5.156
As 1.231 -2.089 1.739
As 3.642 2.089 5.152
As 4.849 0.000 1.735
As 3.642 -2.089 5.152
```

Summary:
- total DFT energy (no corrections) (eV per atom) = -6.37
- M_tot (μB per cell) = 0.00
- formation energy from the elements (kJ per mole of atoms) = -148



[4]
Below is a relaxed structure of PmY5As6, with properties calculated at the PBE level.

Geometry as extended XYZ:
```
12
Lattice="3.590 -6.215 0.000 3.590 6.215 0.000 -2.395 0.000 6.765" Properties=species:S:1:pos:R:3 pbc="T T T"
Pm 0.000 0.000 0.000
Y 2.392 4.155 3.383
Y 3.590 2.075 0.000
Y 2.392 0.000 3.383
Y 3.590 -2.075 0.000
Y 2.392 -4.155 3.383
As 1.209 2.094 1.708
As 0.026 0.000 5.062
As 1.209 -2.094 1.708
As 3.575 2.094 5.057
As 4.759 0.000 1.703
As 3.575 -2.094 5.057
```

Summary:
- total DFT energy (no corrections) (eV per atom) = -6.96
- M_tot (μB per cell) = 0.00
- formation energy from the elements (kJ per mole of atoms) = -150



[5]
Below is a relaxed structure of PmYAs2, with properties calculated at the PBE level.

Geometry as extended XYZ:
```
4
Lattice="5.299 0.000 0.000 0.000 5.299 0.000 0.000 0.000 3.351" Properties=species:S:1:pos:R:3 pbc="T T T"
Pm 0.000 0.000 0.000
Y 2.650 2.650 0.000
As 0.000 2.650 1.675
As 2.650 0.000 1.675
```

Summary:
- total DFT energy (no corrections) (eV per atom) = -6.19
- M_tot (μB per cell) = 0.00
- formation energy from the elements (kJ per mole of atoms) = -102
- energy relative to the lowest polymorph listed for this composition (kJ/mol of atoms) = 46.26



[6]
Below is a relaxed structure of PmY2As3, with properties calculated at the PBE level.

Geometry as extended XYZ:
```
6
Lattice="-2.083 2.945 6.240 2.083 -2.945 6.240 2.083 2.945 -6.240" Properties=species:S:1:pos:R:3 pbc="T T T"
Pm 0.000 0.000 0.000
Y 0.000 0.000 4.167
Y 0.000 0.000 8.313
As 2.083 0.000 2.124
As 0.000 2.945 0.000
As 0.000 2.945 4.116
```

Summary:
- total DFT energy (no corrections) (eV per atom) = -6.81
- M_tot (μB per cell) = 0.00
- formation energy from the elements (kJ per mole of atoms) = -149



[7]
Below is a relaxed structure of PmYZnAs, with properties calculated at the PBE level.

Geometry as extended XYZ:
```
4
Lattice="0.000 3.604 3.604 3.604 0.000 3.604 3.604 3.604 0.000" Properties=species:S:1:pos:R:3 pbc="T T T"
Pm 0.000 0.000 0.000
Y 3.604 3.604 3.604
Zn 1.802 1.802 1.802
As 5.406 5.406 5.406
```

Summary:
- total DFT energy (no corrections) (eV per atom) = -4.91
- M_tot (μB per cell) = 0.00
- formation energy from the elements (kJ per mole of atoms) = -61



[8]
Below is a relaxed structure of PmY2ZrAs4, with properties calculated at the PBE level.

Geometry as extended XYZ:
```
8
Lattice="7.060 0.000 0.000 0.000 4.079 0.000 -2.335 0.000 6.674" Properties=species:S:1:pos:R:3 pbc="T T T"
Pm 0.000 0.000 0.000
Y 2.362 0.000 3.337
Y 3.530 2.040 0.000
Zr -1.167 2.040 3.337
As -0.014 0.000 4.920
As 1.149 2.040 1.739
As 3.575 2.040 4.936
As 4.739 0.000 1.755
```

Summary:
- total DFT energy (no corrections) (eV per atom) = -7.03
- M_tot (μB per cell) = 0.00
- formation energy from the elements (kJ per mole of atoms) = -137



[9]
Below is a relaxed structure of Pm2YZrAs4, with properties calculated at the PBE level.

Geometry as extended XYZ:
```
8
Lattice="7.109 0.000 0.000 0.000 4.104 0.000 -2.352 0.000 6.718" Properties=species:S:1:pos:R:3 pbc="T T T"
Pm 0.000 0.000 0.000
Pm 3.554 2.052 0.000
Y -1.176 2.052 3.359
Zr 2.378 0.000 3.359
As 0.068 0.000 4.952
As 1.239 2.052 1.796
As 3.518 2.052 4.922
As 4.688 0.000 1.766
```

Summary:
- total DFT energy (no corrections) (eV per atom) = -6.82
- M_tot (μB per cell) = 0.00
- formation energy from the elements (kJ per mole of atoms) = -138



[10]
Below is a relaxed structure of PmZnAs2, with properties calculated at the PBE level.

Geometry as extended XYZ:
```
4
Lattice="0.000 3.507 3.507 3.507 0.000 3.507 3.507 3.507 0.000" Properties=species:S:1:pos:R:3 pbc="T T T"
Pm 0.000 0.000 0.000
Zn 3.507 3.507 3.507
As 1.754 1.754 1.754
As 5.261 5.261 5.261
```

Summary:
- total DFT energy (no corrections) (eV per atom) = -4.20
- M_tot (μB per cell) = 0.00
- formation energy from the elements (kJ per mole of atoms) = -36
- energy relative to the lowest polymorph listed for this composition (kJ/mol of atoms) = 34.24



[11]
Below is a relaxed structure of PmZn2As, with properties calculated at the PBE level.

Geometry as extended XYZ:
```
4
Lattice="4.176 0.000 0.000 0.000 4.176 0.000 0.000 0.000 4.757" Properties=species:S:1:pos:R:3 pbc="T T T"
Pm 0.000 0.000 0.000
Zn 0.000 2.088 2.378
Zn 2.088 0.000 2.378
As 2.088 2.088 0.000
```

Summary:
- total DFT energy (no corrections) (eV per atom) = -3.51
- M_tot (μB per cell) = 0.00
- formation energy from the elements (kJ per mole of atoms) = -50



[12]
Below is a relaxed structure of PmZnAs, with properties calculated at the PBE level.

Geometry as extended XYZ:
```
3
Lattice="4.234 0.000 0.000 -2.117 3.667 0.000 0.000 0.000 4.196" Properties=species:S:1:pos:R:3 pbc="T T T"
Pm 0.000 0.000 0.000
Zn 2.117 1.222 1.741
As 0.000 2.444 2.277
```

Summary:
- total DFT energy (no corrections) (eV per atom) = -4.36
- M_tot (μB per cell) = 0.00
- formation energy from the elements (kJ per mole of atoms) = -77
- energy relative to the lowest polymorph listed for this composition (kJ/mol of atoms) = 0.00